# 1
A relaxed BaScPb2 crystal. Source: the Alexandria database, functional GGA-PBE.

The structure in POSCAR format:
```
BaScPb2
1.0
8.1938 0.0291 0.0864
-3.3140 5.0419 -0.0355
1.5658 1.0338 3.0713
Pb Sc Ba
2 1 1
Direct
0.5000 0.0000 0.5000
0.0000 0.0000 0.0000
0.0000 0.5000 0.5000
0.5000 0.5000 0.0000
```

Calculated values
For the electronic total energy, the calculation gives -0.1519 Ha/atom. Its total moment is 0.147 μB/atom. Its crystal system is monoclinic. The space group is C2/m (12).

# 2
A relaxed CuBN3 crystal. Source: the Alexandria database, functional GGA-PBE.

The structure in POSCAR format:
```
CuBN3
1.0
-3.0297 0.4251 -1.3658
0.9385 -1.8233 -2.6494
-1.0795 -2.7784 1.5297
Cu N B
1 3 1
Direct
0.5000 0.5000 0.5000
0.5000 0.0000 0.0000
0.0000 0.5000 0.0000
0.0000 0.0000 0.5000
0.0000 0.0000 0.0000
```

Calculated values
For the electronic total energy, the calculation gives -0.2009 Ha/atom. As for the uncorrected formation energy: 1.68 eV/atom. Its total moment is 0.000 μB/atom. Its crystal system is cubic. The space group is Pm-3m (221).

# 3
A relaxed HgTeW2 crystal. Source: the Alexandria database, functional GGA-PBE.

The structure in POSCAR format:
```
HgTeW2
1.0
-8.4148 -3.3302 -2.7379
-6.4333 -5.2359 -4.5379
-7.1210 -6.0531 -1.4303
W Hg Te
2 1 1
Direct
0.9913 0.9913 0.9913
0.2628 0.2628 0.2628
0.5104 0.5104 0.5104
0.7355 0.7355 0.7355
```

Calculated values
For the electronic total energy, the calculation gives -0.2531 Ha/atom. As for the uncorrected formation energy: 0.45 eV/atom. The excess energy over the best structure of this formula in the dataset comes out at 0.00 eV/f.u. Its total moment is 0.000 μB/atom. Its crystal system is trigonal. The space group is R3m (160).

# 4
A relaxed KTi2AgRu crystal. Source: the Alexandria database, functional GGA-PBE.

The structure in POSCAR format:
```
KTi2AgRu
1.0
4.9538 0.0000 0.0000
0.0000 5.0747 0.0000
0.0000 0.0000 4.9538
Ti K Ag Ru
2 1 1 1
Direct
0.0000 0.0000 0.5000
0.5000 0.0000 0.0000
0.5000 0.5000 0.5000
0.0000 0.0000 0.0000
0.0000 0.5000 0.0000
```

Calculated values
For the electronic total energy, the calculation gives -0.1598 Ha/atom. Its total moment is 0.000 μB/atom. Its crystal system is tetragonal. The space group is P4/mmm (123).

# 5
A relaxed BiH3Pd8Pb2 crystal. Source: the Alexandria database, functional GGA-PBE.

The structure in POSCAR format:
```
BiH3Pd8Pb2
1.0
5.8766 0.0000 0.0000
2.9383 5.0893 0.0000
2.9383 1.6964 7.2354
Pd H Pb Bi
8 3 2 1
Direct
0.2164 0.2164 0.8510
0.7178 0.7178 0.8465
0.7728 0.2809 0.1734
0.7728 0.7728 0.1734
0.2809 0.7728 0.1734
0.2164 0.7162 0.8510
0.2754 0.2754 0.1738
0.7162 0.2164 0.8510
0.5105 0.0081 0.9709
0.5105 0.5105 0.9709
0.0081 0.5105 0.9709
0.1522 0.1522 0.5433
0.4971 0.4971 0.5087
0.8455 0.8455 0.4634
```

Calculated values
For the electronic total energy, the calculation gives -0.1692 Ha/atom. Its total moment is 0.000 μB/atom. Its crystal system is trigonal. The space group is R3m (160).

# 6
A relaxed LaYSb2 crystal. Source: the Alexandria database, functional GGA-PBE.

The structure in POSCAR format:
```
LaYSb2
1.0
-1.3829 2.2355 -5.9878
-5.1944 -2.1860 -3.3171
1.4902 2.3033 5.9361
Sb Y La
2 1 1
Direct
0.7498 0.2498 0.5000
0.9999 0.9999 0.0000
0.5003 0.5003 0.0000
0.2501 0.7501 0.5000
```

Calculated values
For the electronic total energy, the calculation gives -0.2138 Ha/atom. As for the uncorrected formation energy: -0.91 eV/atom. The excess energy over the best structure of this formula in the dataset comes out at 1.24 eV/f.u. Its total moment is 0.000 μB/atom. Its crystal system is tetragonal. The space group is I-4m2 (119).

# 7
A relaxed ZrPPd crystal. Source: the Alexandria database, functional GGA-PBE.

The structure in POSCAR format:
```
ZrPPd
1.0
-1.3010 3.4469 1.0764
-6.2211 -2.3898 0.1333
1.2006 -2.9618 10.9352
Zr Pd P
6 6 6
Direct
0.2500 0.9523 0.7116
0.7500 0.0477 0.2884
0.7500 0.5338 0.3851
0.2500 0.4662 0.6149
0.7500 0.6607 0.0786
0.2500 0.3393 0.9214
0.2500 0.3909 0.2011
0.2500 0.8505 0.4569
0.7500 0.1495 0.5431
0.7500 0.6091 0.7989
0.2500 0.9961 0.0899
0.7500 0.0039 0.9101
0.2500 0.2452 0.4096
0.7500 0.2558 0.7508
0.2500 0.7442 0.2492
0.7500 0.7548 0.5904
0.7500 0.2522 0.0863
0.2500 0.7478 0.9137
```

Calculated values
For the electronic total energy, the calculation gives -0.2738 Ha/atom. Its total moment is 0.000 μB/atom. Its crystal system is monoclinic. The space group is P2_1/m (11).

# 8
A relaxed TbSmErTm crystal. Source: the Alexandria database, functional GGA-PBE.

The structure in POSCAR format:
```
TbSmErTm
1.0
-4.5277 0.8225 2.0103
-0.6801 -4.9480 0.4928
4.6553 2.2340 3.2988
Tm Sm Tb Er
1 1 1 1
Direct
0.6198 0.6198 0.2396
0.3699 0.8699 0.7399
0.1197 0.1197 0.2394
0.8697 0.3697 0.7394
```

Calculated values
For the electronic total energy, the calculation gives -0.1681 Ha/atom. The excess energy over the best structure of this formula in the dataset comes out at 0.00 eV/f.u. Its total moment is 0.000 μB/atom. Its crystal system is tetragonal. The space group is I-4m2 (119).

# 9
A relaxed Tb2Ge4Rh5 crystal. Source: the Alexandria database, functional GGA-PBE.

The structure in POSCAR format:
```
Tb2Ge4Rh5
1.0
-4.8678 -1.8073 2.2435
-4.1919 -1.6196 -3.2694
0.1627 -7.7935 1.2055
Rh Tb Ge
5 2 4
Direct
0.0000 0.5000 0.0000
0.5000 0.5000 0.0000
0.2500 0.5000 0.5000
0.5000 0.0000 0.0000
0.7500 0.5000 0.5000
0.1245 0.0000 0.7510
0.8755 0.0000 0.2490
0.5245 0.6891 0.2620
0.4755 0.3109 0.7380
0.7865 0.6891 0.7380
0.2135 0.3109 0.2620
```

Calculated values
For the electronic total energy, the calculation gives -0.2439 Ha/atom. Its total moment is 0.000 μB/atom. Its crystal system is orthorhombic. The space group is Fmmm (69).

# 10
A relaxed Ca3Ce3MgSe8 crystal. Source: the Alexandria database, functional GGA-PBE.

The structure in POSCAR format:
```
Ca3Ce3MgSe8
1.0
8.3643 -0.0015 0.0010
-4.1814 7.2442 -0.0255
-0.0001 -4.8059 6.9293
Se Ce Ca Mg
8 3 3 1
Direct
0.7518 0.5036 0.7555
0.7619 0.0003 0.2622
0.7616 0.5232 0.2620
0.7612 0.9996 0.7380
0.2381 0.9997 0.7378
0.2388 0.0004 0.2620
0.2482 0.4964 0.2445
0.2384 0.4768 0.7380
0.5000 0.0000 0.5000
0.5000 0.5000 0.5000
0.0000 0.5000 0.5000
0.0000 0.0000 0.0000
0.0000 0.5000 0.0000
0.5000 0.5000 0.0000
0.0000 0.0000 0.5000
```

Calculated values
For the electronic total energy, the calculation gives -0.1955 Ha/atom. As for the uncorrected formation energy: -1.77 eV/atom. Its total moment is 0.252 μB/atom. Its crystal system is trigonal. The space group is R-3m (166).

# 11
A relaxed CaLaIn crystal. Source: the Alexandria database, functional GGA-PBE.

The structure in POSCAR format:
```
CaLaIn
1.0
-4.4381 -3.3204 3.4701
4.1725 -6.2336 -5.0935
1.9161 -2.0392 2.6240
Ca La In
2 2 2
Direct
0.5401 0.5624 0.3572
0.0790 0.7351 0.5006
0.1560 0.1287 0.7648
0.6517 0.9861 0.5896
0.6618 0.2990 0.9279
0.0659 0.4198 0.1653
```

Calculated values
For the electronic total energy, the calculation gives -0.1273 Ha/atom. The excess energy over the best structure of this formula in the dataset comes out at 0.61 eV/f.u. Its total moment is 0.000 μB/atom. Its crystal system is monoclinic. The space group is Cm (8).

# 12
A relaxed CeCd3Pb crystal. Source: the Alexandria database, functional GGA-PBE.

The structure in POSCAR format:
```
CeCd3Pb
1.0
5.2011 0.0000 0.0000
0.0000 5.3619 0.0000
0.0000 2.6809 11.1124
Cd Ce Pb
6 2 2
Direct
0.2500 0.4659 0.5686
0.7500 0.5341 0.4314
0.0000 0.0000 0.0000
0.7500 0.0345 0.4314
0.5000 0.0000 0.0000
0.2500 0.9655 0.5686
0.2500 0.8626 0.2748
0.7500 0.1374 0.7252
0.2500 0.5855 0.8290
0.7500 0.4145 0.1710
```

Calculated values
For the electronic total energy, the calculation gives -0.0861 Ha/atom. Its total moment is 0.238 μB/atom. Its crystal system is orthorhombic. The space group is Cmcm (63).

# 13
A relaxed GdPaTcPd crystal. Source: the Alexandria database, functional GGA-PBE.

The structure in POSCAR format:
```
GdPaTcPd
1.0
4.9172 0.0000 0.0000
2.4586 4.2584 0.0000
2.4586 1.4195 4.0149
Gd Pa Tc Pd
1 1 1 1
Direct
0.2500 0.2500 0.2500
0.7500 0.7500 0.7500
0.5000 0.5000 0.5000
0.0000 0.0000 0.0000
```

Calculated values
For the electronic total energy, the calculation gives -0.3708 Ha/atom. Its total moment is 1.754 μB/atom. Its crystal system is cubic. The space group is F-43m (216).

# 14
A relaxed Ti5Pb2 crystal. Source: the Alexandria database, functional GGA-PBE.

The structure in POSCAR format:
```
Ti5Pb2
1.0
3.7588 0.0000 0.0000
-1.8794 4.9370 -0.5866
0.0000 0.0838 7.1319
Ti Pb
5 2
Direct
0.3534 0.7069 0.0777
0.5000 0.0000 0.5000
0.6466 0.2931 0.9223
0.2054 0.4108 0.6350
0.7946 0.5892 0.3650
0.0795 0.1590 0.2222
0.9205 0.8410 0.7778
```

Calculated values
For the electronic total energy, the calculation gives -0.2477 Ha/atom. Its total moment is 0.145 μB/atom. Its crystal system is monoclinic. The space group is C2/m (12).

# 15
A relaxed KTiPO2 crystal. Source: the Alexandria database, functional GGA-PBE.

The structure in POSCAR format:
```
KTiPO2
1.0
4.0313 0.0000 0.0000
0.0000 4.0313 0.0000
0.0000 0.0000 4.9995
O Ti P K
2 1 1 1
Direct
0.5000 0.0000 0.0000
0.0000 0.5000 0.0000
0.0000 0.0000 0.0000
0.0000 0.0000 0.5000
0.5000 0.5000 0.5000
```

Calculated values
For the electronic total energy, the calculation gives -0.2240 Ha/atom. As for the uncorrected formation energy: -1.23 eV/atom. The excess energy over the best structure of this formula in the dataset comes out at 0.00 eV/f.u. Its total moment is 0.378 μB/atom. Its crystal system is tetragonal. The space group is P4/mmm (123).

# 16
A relaxed Ce3CuB2Pt9 crystal. Source: the Alexandria database, functional GGA-PBE.

The structure in POSCAR format:
```
Ce3CuB2Pt9
1.0
5.7241 0.0000 0.0000
-2.8620 4.9572 0.0000
0.0000 0.0000 9.4684
Pt Ce Cu B
9 3 1 2
Direct
0.0000 0.5000 0.0000
0.6692 0.8346 0.2905
0.5000 0.0000 0.0000
0.8346 0.6692 0.7095
0.1654 0.3308 0.2905
0.1654 0.8346 0.2905
0.5000 0.5000 0.0000
0.3308 0.1654 0.7095
0.8346 0.1654 0.7095
0.3333 0.6667 0.6056
0.6667 0.3333 0.3944
0.0000 0.0000 0.0000
0.0000 0.0000 0.5000
0.6667 0.3333 0.8479
0.3333 0.6667 0.1521
```

Calculated values
For the electronic total energy, the calculation gives -0.2465 Ha/atom. Its total moment is 0.125 μB/atom. Its crystal system is trigonal. The space group is P-3m1 (164).

# 17
A relaxed FeIrCl2 crystal. Source: the Alexandria database, functional GGA-PBE.

The structure in POSCAR format:
```
FeIrCl2
1.0
10.8969 0.5466 0.3231
10.3412 3.4784 0.3231
10.3412 1.9599 2.8918
Cl Fe Ir
2 1 1
Direct
0.9678 0.9678 0.9678
0.5322 0.5322 0.5322
0.2500 0.2500 0.2500
0.7500 0.7500 0.7500
```

Calculated values
For the electronic total energy, the calculation gives -0.1754 Ha/atom. As for the uncorrected formation energy: 0.48 eV/atom. The excess energy over the best structure of this formula in the dataset comes out at 2.21 eV/f.u. Its total moment is 1.323 μB/atom. Its crystal system is trigonal. The space group is R-3m (166).

# 18
A relaxed Mn3Ga2Fe5 crystal. Source: the Alexandria database, functional GGA-PBE.

The structure in POSCAR format:
```
Mn3Ga2Fe5
1.0
2.4817 0.0000 0.5507
0.6831 7.9002 2.7887
-0.1494 1.2943 6.5403
Fe Ga Mn
5 2 3
Direct
0.1073 0.2153 0.5701
0.2962 0.5993 0.8082
0.7038 0.4007 0.1918
0.0000 0.0000 0.0000
0.8927 0.7847 0.4299
0.6817 0.8937 0.7429
0.3183 0.1063 0.2571
0.0953 0.6682 0.1411
0.5000 0.5000 0.5000
0.9047 0.3318 0.8589
```

Calculated values
For the electronic total energy, the calculation gives -0.2756 Ha/atom. Its total moment is 0.529 μB/atom. Its crystal system is monoclinic. The space group is C2/m (12).

# 19
A relaxed LiPuAl2Au4 crystal. Source: the Alexandria database, functional GGA-PBE.

The structure in POSCAR format:
```
LiPuAl2Au4
1.0
4.4638 0.0000 0.0000
2.2319 3.8658 0.0000
2.2319 1.2886 8.6017
Pu Au Al Li
1 4 2 1
Direct
0.0000 0.0000 0.0000
0.8674 0.8674 0.3977
0.6015 0.6015 0.1954
0.3985 0.3985 0.8046
0.1326 0.1326 0.6023
0.7605 0.7605 0.7184
0.2395 0.2395 0.2816
0.5000 0.5000 0.5000
```

Calculated values
For the electronic total energy, the calculation gives -0.1874 Ha/atom. Its total moment is 0.701 μB/atom. Its crystal system is trigonal. The space group is R-3m (166).

# 20
A relaxed HfIn2AgCl crystal. Source: the Alexandria database, functional GGA-PBE.

The structure in POSCAR format:
```
HfIn2AgCl
1.0
5.3852 0.0000 0.0000
0.0000 4.6949 0.0000
0.0000 0.0000 5.3852
Ag Hf In Cl
1 1 2 1
Direct
0.5000 0.5000 0.5000
0.0000 0.5000 0.0000
0.5000 0.0000 0.0000
0.0000 0.0000 0.5000
0.0000 0.0000 0.0000
```

Calculated values
For the electronic total energy, the calculation gives -0.1280 Ha/atom. As for the uncorrected formation energy: 0.54 eV/atom. Its total moment is 0.000 μB/atom. Its crystal system is tetragonal. The space group is P4/mmm (123).